## Sb3OsBr (PBE)

Data for a geometry-optimized Sb3OsBr structure.

a = 5.2122 Å, b = 5.2122 Å, c = 5.2122 Å
α = 90.00°, β = 90.00°, γ = 90.00°
With the nearest neighbours (Å) after each atom.
Atoms (fractional coordinates):
1 Sb 0.0000 0.5000 0.0000  2 Os 2.61
2 Sb 0.0000 0.0000 0.5000  2 Os 2.61
3 Sb 0.5000 0.0000 0.0000  2 Os 2.61
4 Os 0.0000 0.0000 0.0000  6 Sb 2.61
5 Br 0.5000 0.5000 0.5000  12 Sb 3.69

## Properties
symmetry = Pm-3m (221)
electronic total energy = -4.54 eV per atom
formation energy without anion corrections = 0.51 eV per atom
excess energy over the best structure of this formula in the dataset = 0.000 eV per atom


## TlOs2C (PBE)

Data for a geometry-optimized TlOs2C structure.

a = 5.2459 Å, b = 5.2459 Å, c = 6.5391 Å
α = 66.35°, β = 66.35°, γ = 90.00°
With the nearest neighbours (Å) after each atom.
Atoms (fractional coordinates):
1 Tl 0.0000 0.0000 0.0000  4 Os 2.83
2 Tl 0.7500 0.2500 0.5000  4 Os 2.83
3 Os 0.4725 0.1250 0.2500  2 C 1.95
4 Os 0.2775 0.6250 0.2500  2 C 1.95
5 Os 0.3750 0.5275 0.7500  2 C 1.95
6 Os 0.8750 0.7225 0.7500  2 C 1.95
7 C 0.5000 0.5000 0.0000  4 Os 1.95
8 C 0.2500 0.7500 0.5000  4 Os 1.95

## Properties
symmetry = I-42d (122)
electronic total energy = -7.30 eV per atom
excess energy over the best structure of this formula in the dataset = 0.000 eV per atom
energy of formation from the pure elements = 1.21 eV per atom


## RhPb3 (PBE)

Data for a geometry-optimized RhPb3 structure.

a = 3.4060 Å, b = 3.4061 Å, c = 8.6468 Å
α = 90.00°, β = 90.00°, γ = 89.99°
With the nearest neighbours (Å) after each atom.
Atoms (fractional coordinates):
1 Pb 0.0000 0.0000 0.0543  4 Rh 2.94
2 Pb 0.5000 0.5000 0.7500  12 Pb 3.41-3.57
3 Pb 0.0000 0.0000 0.4457  4 Rh 2.94
4 Rh 0.5000 0.5000 0.2500  8 Pb 2.94

## Properties
symmetry = P4/mmm (123)
electronic total energy = -4.59 eV per atom
energy of formation from the pure elements = 0.03 eV per atom


## Ta5NbW6 (PBE)

Data for a geometry-optimized Ta5NbW6 structure.

a = 4.5732 Å, b = 6.5022 Å, c = 7.9422 Å
α = 114.16°, β = 106.78°, γ = 90.00°
With the nearest neighbours (Å) after each atom.
Atoms (fractional coordinates):
1 Nb 0.0000 0.0000 0.0000  8 W 2.80-2.81
2 W 0.8334 0.5836 0.6668  7 Ta 2.80-2.81, 1 Nb 2.81
3 W 0.8334 0.0832 0.6668  7 Ta 2.80-2.81, 1 Nb 2.81
4 W 0.5000 0.7503 0.0000  2 Nb 2.80, 6 Ta 2.81
5 W 0.5000 0.2497 0.0000  2 Nb 2.80, 6 Ta 2.81
6 W 0.1666 0.9168 0.3332  7 Ta 2.80-2.81, 1 Nb 2.81
7 W 0.1666 0.4164 0.3332  7 Ta 2.80-2.81, 1 Nb 2.81
8 Ta 0.6672 0.1673 0.3345  8 W 2.80-2.81
9 Ta 0.3334 0.3335 0.6670  8 W 2.81
10 Ta 0.0000 0.5000 0.0000  8 W 2.81
11 Ta 0.6666 0.6665 0.3330  8 W 2.81
12 Ta 0.3328 0.8327 0.6655  8 W 2.80-2.81

## Properties
symmetry = Immm (71)
electronic total energy = -12.35 eV per atom
energy of formation from the pure elements = -0.10 eV per atom


## Nd3Sc2Ga3 (PBE)

Data for a geometry-optimized Nd3Sc2Ga3 structure.

a = 6.1924 Å, b = 8.6929 Å, c = 8.6929 Å
α = 120.00°, β = 90.00°, γ = 90.00°
With the nearest neighbours (Å) after each atom.
Atoms (fractional coordinates):
1 Nd 0.7500 0.2489 0.0000  3 Ga 2.99-3.09
2 Nd 0.7500 0.7511 0.7511  3 Ga 2.99-3.09
3 Nd 0.7500 0.0000 0.2489  3 Ga 2.99-3.09
4 Nd 0.2500 0.7511 0.0000  3 Ga 2.99-3.09
5 Nd 0.2500 0.2489 0.2489  3 Ga 2.99-3.09
6 Nd 0.2500 0.0000 0.7511  3 Ga 2.99-3.09
7 Sc 0.0000 0.3333 0.6667  6 Ga 3.06, 2 Sc 3.10
8 Sc 0.5000 0.6667 0.3333  6 Ga 3.06, 2 Sc 3.10
9 Sc 0.0000 0.6667 0.3333  6 Ga 3.06, 2 Sc 3.10
10 Sc 0.5000 0.3333 0.6667  6 Ga 3.06, 2 Sc 3.10
11 Ga 0.7500 0.5932 0.0000  3 Nd 2.99-3.09, 4 Sc 3.06
12 Ga 0.7500 0.4068 0.4068  3 Nd 2.99-3.09, 4 Sc 3.06
13 Ga 0.7500 0.0000 0.5932  3 Nd 2.99-3.09, 4 Sc 3.06
14 Ga 0.2500 0.4068 0.0000  3 Nd 2.99-3.09, 4 Sc 3.06
15 Ga 0.2500 0.5932 0.5932  3 Nd 2.99-3.09, 4 Sc 3.06
16 Ga 0.2500 0.0000 0.4068  3 Nd 2.99-3.09, 4 Sc 3.06

## Properties
symmetry = P6_3/mcm (193)
electronic total energy = -4.96 eV per atom
energy of formation from the pure elements = -0.45 eV per atom


## Tb3TeS6 (PBE)

Data for a geometry-optimized Tb3TeS6 structure.

a = 6.7362 Å, b = 8.5687 Å, c = 8.5687 Å
α = 103.46°, β = 90.00°, γ = 90.00°
With the nearest neighbours (Å) after each atom.
Atoms (fractional coordinates):
1 Tb 0.4918 0.9127 0.7086  7 S 2.72-3.03
2 Tb 0.9918 0.7086 0.9127  7 S 2.72-3.03
3 Tb 0.3852 0.4088 0.5912  7 S 2.77-2.87
4 Tb 0.8852 0.5912 0.4088  7 S 2.77-2.87
5 Tb 0.9918 0.0873 0.2914  7 S 2.72-3.03
6 Tb 0.4918 0.2914 0.0873  7 S 2.72-3.03
7 Te 0.9680 0.1649 0.8351  4 S 2.50-2.79
8 Te 0.4680 0.8351 0.1649  4 S 2.50-2.79
9 S 0.1861 0.6978 0.6315  4 Tb 2.72-2.79
10 S 0.6861 0.6315 0.6978  4 Tb 2.72-2.79
11 S 0.2054 0.4304 0.8942  1 Te 2.73, 3 Tb 2.76-2.97
12 S 0.7054 0.8942 0.4304  1 Te 2.73, 3 Tb 2.76-2.97
13 S 0.2428 0.0103 0.9897  2 Te 2.79-2.80, 4 Tb 2.89-3.03
14 S 0.6226 0.2320 0.7680  1 Te 2.50
15 S 0.1226 0.7680 0.2320  1 Te 2.50
16 S 0.7428 0.9897 0.0103  2 Te 2.79-2.80, 4 Tb 2.89-3.03
17 S 0.2054 0.1058 0.5696  1 Te 2.73, 3 Tb 2.76-2.97
18 S 0.7054 0.5696 0.1058  1 Te 2.73, 3 Tb 2.76-2.97
19 S 0.1861 0.3685 0.3022  4 Tb 2.72-2.79
20 S 0.6861 0.3022 0.3685  4 Tb 2.72-2.79

## Properties
symmetry = Cmc2_1 (36)
electronic total energy = -5.63 eV per atom
formation energy without anion corrections = -1.45 eV per atom